# 1
DFT (PBE-GGA) results for crystalline Na2PrCrN4 at its relaxed geometry.

Properties
DFT total energy (eV/atom): -6.637
Symmetry: No. 121
E_form (uncorrected) (kJ per mole of atoms): -33.2
Crystal system: tetragonal

Lattice parameters (Å, degrees): 6.0233 5.3152 5.3152 73.49 55.49 55.49
Last column: nearest neighbours and their distance in Å.
Atoms (fractional coordinates):
Na 0.5000 0.7500 0.2500  4 N 2.32
Na 0.5000 0.2500 0.7500  4 N 2.32
Pr 0.0000 0.0000 0.0000  4 N 2.57
Cr 0.0000 0.5000 0.5000  4 N 1.75
N 0.6688 0.5039 0.8273  1 Cr 1.75
N 0.3312 0.1727 0.4961  1 Cr 1.75
N 0.0000 0.4961 0.1727  1 Cr 1.75
N 0.0000 0.8273 0.5039  1 Cr 1.75


# 2
DFT (PBE-GGA) results for crystalline ErNi12B6 at its relaxed geometry.

Properties
DFT total energy (eV/atom): -6.390
Symmetry: No. 166
Energy of formation from the pure elements (meV/atom): -389.4
Crystal system: trigonal

Lattice parameters (Å, degrees): 6.0055 6.0055 6.0055 104.49 104.49 104.49
Last column: nearest neighbours and their distance in Å.
Atoms (fractional coordinates):
Er 0.0000 0.0000 0.0000  18 Ni 3.04-3.25, 6 B 3.11
Ni 0.8698 0.1302 0.5000  4 B 2.04-2.06
Ni 0.8139 0.5482 0.5482  3 B 2.09
Ni 0.5482 0.5482 0.8139  3 B 2.09
Ni 0.4518 0.1861 0.4518  3 B 2.09
Ni 0.4518 0.4518 0.1861  3 B 2.09
Ni 0.1861 0.4518 0.4518  3 B 2.09
Ni 0.1302 0.5000 0.8698  4 B 2.04-2.06
Ni 0.5000 0.8698 0.1302  4 B 2.04-2.06
Ni 0.1302 0.8698 0.5000  4 B 2.04-2.06
Ni 0.8698 0.5000 0.1302  4 B 2.04-2.06
Ni 0.5000 0.1302 0.8698  4 B 2.04-2.06
Ni 0.5482 0.8139 0.5482  3 B 2.09
B 0.6725 0.2365 0.2365  7 Ni 2.04-2.09
B 0.2365 0.2365 0.6725  7 Ni 2.04-2.09
B 0.2365 0.6725 0.2365  7 Ni 2.04-2.09
B 0.7635 0.7635 0.3275  7 Ni 2.04-2.09
B 0.3275 0.7635 0.7635  7 Ni 2.04-2.09
B 0.7635 0.3275 0.7635  7 Ni 2.04-2.09


Question: What is the formula in the second record?
Answer: ErNi12B6